# 1
# InSi2W, optimized geometry, DFT GGA-PBE
# E   -5.9239 eV per atom
# Total magnetic moment   0.0 Bohr magnetons per cell
# Energy relative to the elements, uncorrected   68.6 kJ per mole of atoms
# Density of states at the Fermi level   1.8 states/eV/f.u.
data_InSi2W
_cell_length_a 3.250
_cell_length_b 4.365
_cell_length_c 4.725
_cell_angle_alpha 90.00
_cell_angle_beta 90.00
_cell_angle_gamma 90.00
_symmetry_space_group_name_H-M 'P m m m'
_symmetry_Int_Tables_number 47
loop_
_symmetry_equiv_pos_as_xyz
'x,y,z'
'-x,-y,-z'
'-x,-y,z'
'x,y,-z'
'x,-y,-z'
'-x,y,z'
'-x,y,-z'
'x,-y,z'
loop_
_atom_site_label
_atom_site_type_symbol
_atom_site_fract_x
_atom_site_fract_y
_atom_site_fract_z
In1 In 0.000 0.000 0.000
Si1 Si 0.000 0.500 0.500
Si2 Si 0.500 0.500 0.000
W1 W 0.500 0.000 0.500

# 2
# In2SiW, optimized geometry, DFT GGA-PBE
# E   -5.2683 eV per atom
# Total magnetic moment   0.0 Bohr magnetons per cell
# Energy relative to the elements, uncorrected   67.0 kJ per mole of atoms
# Density of states at the Fermi level   3.0 states/eV/f.u.
data_In2SiW
_cell_length_a 2.963
_cell_length_b 2.963
_cell_length_c 8.778
_cell_angle_alpha 90.00
_cell_angle_beta 90.00
_cell_angle_gamma 90.00
_symmetry_space_group_name_H-M 'P 4/m m m'
_symmetry_Int_Tables_number 123
_symmetry_space_group_name_Hall '-P 4 2'
loop_
_atom_site_label
_atom_site_type_symbol
_atom_site_fract_x
_atom_site_fract_y
_atom_site_fract_z
In1 In 0.000 0.000 0.247
Si1 Si 0.500 0.500 0.500
W1 W 0.500 0.500 0.000

# 3
# In2SiW, optimized geometry, DFT GGA-PBE
# E   -5.2790 eV per atom
# Total magnetic moment   0.0 Bohr magnetons per cell
# Energy relative to the elements, uncorrected   66.0 kJ per mole of atoms
# Density of states at the Fermi level   2.0 states/eV/f.u.
data_In2SiW
_cell_length_a 3.429
_cell_length_b 4.699
_cell_length_c 9.723
_cell_angle_alpha 90.00
_cell_angle_beta 90.00
_cell_angle_gamma 90.00
_symmetry_space_group_name_H-M 'C m m m'
_symmetry_Int_Tables_number 65
_symmetry_space_group_name_Hall '-C 2 2'
loop_
_atom_site_label
_atom_site_type_symbol
_atom_site_fract_x
_atom_site_fract_y
_atom_site_fract_z
In1 In 0.000 0.000 0.240
Si1 Si 0.000 0.500 0.500
W1 W 0.000 0.500 0.000

# 4
# InSiW2, optimized geometry, DFT GGA-PBE
# Distance to the lowest polymorph of the same formula   145 meV per atom
# E   -8.1598 eV per atom
# Total magnetic moment   0.0 Bohr magnetons per cell
# Energy relative to the elements, uncorrected   34.5 kJ per mole of atoms
# Density of states at the Fermi level   1.4 states/eV/f.u.
data_InSiW2
_cell_length_a 3.0803
_cell_length_b 3.0803
_cell_length_c 26.1158
_cell_angle_alpha 90.00
_cell_angle_beta 90.00
_cell_angle_gamma 120.00
_symmetry_space_group_name_H-M 'R 3 m'
_symmetry_Int_Tables_number 160
_symmetry_space_group_name_Hall 'R 3 -2"'
loop_
_atom_site_label
_atom_site_type_symbol
_atom_site_fract_x
_atom_site_fract_y
_atom_site_fract_z
In1 In 0.0000 0.0000 0.0000
Si1 Si 0.0000 0.0000 0.2398
W1 W 0.0000 0.0000 0.4990
W2 W 0.0000 0.0000 0.7592